Compound: Ge2Pb5SO12
Source: the Alexandria database
Functional: SCAN
Structure: PBEsol geometry

abc: 10.064 7.330 10.068
angles: 90.00 119.71 90.00
Space group Pm (No. 6)
Inequivalent atoms, fractional coordinates:
Ge 0.000 0.000 0.000 [1 per cell]
Ge 0.015 0.500 0.612 [1 per cell]
Ge 0.418 0.000 0.643 [1 per cell]
Ge 0.770 0.000 0.409 [1 per cell]
Pb 0.065 0.236 0.360 [2 per cell]
Pb 0.122 0.500 0.980 [1 per cell]
Pb 0.136 0.000 0.760 [1 per cell]
Pb 0.384 0.500 0.767 [1 per cell]
Pb 0.419 0.000 0.287 [1 per cell]
Pb 0.633 0.000 0.990 [1 per cell]
Pb 0.640 0.500 0.270 [1 per cell]
Pb 0.745 0.239 0.694 [2 per cell]
S 0.379 0.500 0.396 [1 per cell]
S 0.798 0.500 0.036 [1 per cell]
O 0.039 0.190 0.916 [2 per cell]
O 0.084 0.000 0.198 [1 per cell]
O 0.141 0.312 0.657 [2 per cell]
O 0.220 0.000 0.523 [1 per cell]
O 0.319 0.335 0.299 [2 per cell]
O 0.321 0.500 0.508 [1 per cell]
O 0.487 0.187 0.772 [2 per cell]
O 0.519 0.000 0.540 [1 per cell]
O 0.550 0.500 0.482 [1 per cell]
O 0.644 0.188 0.355 [2 per cell]
O 0.720 0.500 0.867 [1 per cell]
O 0.756 0.335 0.093 [2 per cell]
O 0.794 0.000 0.898 [1 per cell]
O 0.876 0.000 0.615 [1 per cell]
O 0.888 0.500 0.414 [1 per cell]
O 0.896 0.000 0.337 [1 per cell]
O 0.921 0.500 0.720 [1 per cell]
O 0.969 0.500 0.099 [1 per cell]

Computed properties:
The value obtained for the raw total energy is -531.97 eV per formula unit. For the magnetization, the calculation gives 0.0 μB/f.u. The formation energy from raw total energies comes out at -30.49 eV per formula unit.


Compound: GePb2Se4O12
Source: the Alexandria database
Functional: SCAN
Structure: PBEsol geometry

abc: 8.978 6.579 9.314
angles: 90.00 96.39 90.00
Space group P2_1/c (No. 14)
Inequivalent atoms, fractional coordinates:
Ge 0.000 0.000 0.000 [2 per cell]
Pb 0.463 0.233 0.097 [4 per cell]
Se 0.162 0.186 0.294 [4 per cell]
Se 0.237 0.686 0.133 [4 per cell]
O 0.029 0.119 0.821 [4 per cell]
O 0.132 0.196 0.104 [4 per cell]
O 0.167 0.671 0.481 [4 per cell]
O 0.326 0.184 0.815 [4 per cell]
O 0.343 0.631 0.727 [4 per cell]
O 0.374 0.562 0.050 [4 per cell]

Computed properties:
The value obtained for the raw total energy is -347.48 eV per formula unit. For the magnetization, the calculation gives 0.0 μB/f.u. The formation energy from raw total energies comes out at -21.74 eV per formula unit.